1.
Crystalline Hf2TiInO at its relaxed geometry, computed with PBE.

Output
**Raw formation energy**: -1.010 eV/atom
**Total moment**: 0.00 μB per cell
**Total DFT energy (no corrections)**: -8.11 eV per atom

a b c (Å): 4.547 4.547 4.078
angles (deg): 90.00 90.00 90.00
Fractional coordinates of all 5 atoms:
Hf 0.000 0.500 0.000
Hf 0.500 0.000 0.000
Ti 0.000 0.000 0.500
In 0.500 0.500 0.500
O 0.000 0.000 0.000

2.
Crystalline SmNp2CoN4 at its relaxed geometry, computed with PBE.

Output
**Raw formation energy**: -1.039 eV/atom
**Total moment**: 8.00 μB per cell
**Total DFT energy (no corrections)**: -9.91 eV per atom

a b c (Å): 5.879 5.879 11.288
angles (deg): 90.00 90.00 146.16
Fractional coordinates of all 16 atoms:
Sm 0.105 0.895 0.750
Sm 0.895 0.105 0.250
Np 0.370 0.630 0.557
Np 0.370 0.630 0.943
Np 0.630 0.370 0.057
Np 0.630 0.370 0.443
Co 0.157 0.843 0.250
Co 0.843 0.157 0.750
N 0.000 0.000 0.000
N 0.000 0.000 0.500
N 0.266 0.734 0.113
N 0.266 0.734 0.387
N 0.444 0.556 0.750
N 0.556 0.444 0.250
N 0.734 0.266 0.613
N 0.734 0.266 0.887